CsTlSbTe2 | Alexandria | PBEsol | relaxed; total DFT energy (no corrections) = -0.2156 Ry per atom; energy relative to the elements, uncorrected = 0.51 eV/f.u.; volume = 39.4 Å³ per atom; crystal system = tetragonal
1.0
5.922 0.000 0.000
0.000 5.922 0.000
0.000 0.000 5.621
Cs Tl Sb Te
1 1 1 2
direct
0.000 0.000 0.000
0.500 0.500 0.500
0.500 0.500 0.000
0.000 0.500 0.500
0.500 0.000 0.500


CsZrSbTe2 | Alexandria | PBEsol | relaxed; total DFT energy (no corrections) = -0.2046 Ry per atom; energy relative to the elements, uncorrected = 7.72 eV/f.u.; volume = 40.4 Å³ per atom; crystal system = tetragonal
1.0
5.843 0.000 0.000
0.000 5.843 0.000
0.000 0.000 5.910
Cs Zr Sb Te
1 1 1 2
direct
0.000 0.000 0.000
0.500 0.500 0.500
0.000 0.000 0.500
0.000 0.500 0.000
0.500 0.000 0.000


Cs3TiSb | Alexandria | PBEsol | relaxed; total DFT energy (no corrections) = -0.1724 Ry per atom; energy relative to the elements, uncorrected = 3.98 eV/f.u.; volume = 75.8 Å³ per atom; crystal system = cubic
1.0
7.236 0.000 0.000
0.000 7.236 0.000
0.000 0.000 7.236
Cs Ti Sb
3 1 1
direct
0.000 0.000 0.500
0.000 0.500 0.000
0.500 0.000 0.000
0.500 0.500 0.500
0.000 0.000 0.000


CsTiTl2Sb | Alexandria | PBEsol | relaxed; total DFT energy (no corrections) = -0.1661 Ry per atom; energy relative to the elements, uncorrected = 7.78 eV/f.u.; volume = 44.7 Å³ per atom; crystal system = tetragonal
1.0
6.030 0.000 0.000
0.000 6.030 0.000
0.000 0.000 6.148
Cs Ti Tl Sb
1 1 2 1
direct
0.000 0.000 0.000
0.500 0.500 0.500
0.000 0.500 0.000
0.500 0.000 0.000
0.000 0.000 0.500


Cs2Zn2Sb | Alexandria | PBEsol | relaxed; total DFT energy (no corrections) = -0.1395 Ry per atom; energy relative to the elements, uncorrected = 0.12 eV/f.u.; volume = 32.5 Å³ per atom; crystal system = tetragonal
1.0
-1.812 1.812 12.369
1.812 -1.812 12.369
1.812 1.812 -12.369
Cs Zn Sb
2 2 1
direct
0.111 0.111 0.000
0.889 0.889 0.000
0.250 0.750 0.500
0.750 0.250 0.500
0.500 0.500 0.000


CsZrSb2 | Alexandria | PBEsol | relaxed; total DFT energy (no corrections) = -0.3419 Ry per atom; energy relative to the elements, uncorrected = 0.54 eV/f.u.; volume = 28.4 Å³ per atom; crystal system = cubic
1.0
0.000 3.846 3.846
3.846 0.000 3.846
3.846 3.846 0.000
Cs Zr Sb
1 1 2
direct
0.000 0.000 0.000
0.500 0.500 0.500
0.250 0.250 0.250
0.750 0.750 0.750


Cs2ScSn | Alexandria | PBEsol | relaxed; total DFT energy (no corrections) = -0.1879 Ry per atom; energy relative to the elements = 0.630 eV/atom; volume = 39.9 Å³ per atom; crystal system = cubic
1.0
0.000 4.304 4.304
4.304 0.000 4.304
4.304 4.304 0.000
Cs Sc Sn
2 1 1
direct
0.250 0.250 0.250
0.750 0.750 0.750
0.000 0.000 0.000
0.500 0.500 0.500


CsSrSc2 | Alexandria | PBEsol | relaxed; total DFT energy (no corrections) = -0.2395 Ry per atom; energy relative to the elements = 0.739 eV/atom; volume = 35.0 Å³ per atom; crystal system = trigonal
1.0
1.740 1.005 13.357
-1.740 1.005 13.357
0.000 -2.009 13.357
Cs Sr Sc
1 1 2
direct
0.000 0.000 0.000
0.500 0.500 0.500
0.419 0.419 0.419
0.581 0.581 0.581


CsScTa3 | Alexandria | PBEsol | relaxed; total DFT energy (no corrections) = -0.4661 Ry per atom; energy relative to the elements = 2.699 eV/atom; volume = 24.8 Å³ per atom; crystal system = cubic
1.0
4.985 0.000 0.000
0.000 4.985 0.000
0.000 0.000 4.985
Cs Sc Ta
1 1 3
direct
0.000 0.000 0.000
0.500 0.500 0.500
0.000 0.000 0.500
0.000 0.500 0.000
0.500 0.000 0.000


CsSc3Te | Alexandria | PBEsol | relaxed; total DFT energy (no corrections) = -0.3317 Ry per atom; energy relative to the elements, uncorrected = 1.72 eV/f.u.; volume = 34.0 Å³ per atom; crystal system = cubic
1.0
5.540 0.000 0.000
0.000 5.540 0.000
0.000 0.000 5.540
Cs Sc Te
1 3 1
direct
0.000 0.000 0.000
0.000 0.500 0.500
0.500 0.000 0.500
0.500 0.500 0.000
0.500 0.500 0.500


CsScTi3 | Alexandria | PBEsol | relaxed; total DFT energy (no corrections) = -0.3670 Ry per atom; energy relative to the elements = 1.510 eV/atom; volume = 26.6 Å³ per atom; crystal system = cubic
1.0
5.105 0.000 0.000
0.000 5.105 0.000
0.000 0.000 5.105
Cs Sc Ti
1 1 3
direct
0.000 0.000 0.000
0.500 0.500 0.500
0.000 0.500 0.500
0.500 0.000 0.500
0.500 0.500 0.000


CsSc3Tl | Alexandria | PBEsol | relaxed; total DFT energy (no corrections) = -0.2532 Ry per atom; energy relative to the elements = 1.232 eV/atom; volume = 28.1 Å³ per atom; crystal system = cubic
1.0
5.197 0.000 0.000
0.000 5.197 0.000
0.000 0.000 5.197
Cs Sc Tl
1 3 1
direct
0.000 0.000 0.000
0.000 0.000 0.500
0.000 0.500 0.000
0.500 0.000 0.000
0.500 0.500 0.500


Cs2YSc | Alexandria | PBEsol | relaxed; total DFT energy (no corrections) = -0.2027 Ry per atom; energy relative to the elements = 1.070 eV/atom; volume = 42.2 Å³ per atom; crystal system = cubic
1.0
0.000 4.386 4.386
4.386 0.000 4.386
4.386 4.386 0.000
Cs Y Sc
2 1 1
direct
0.250 0.250 0.250
0.750 0.750 0.750
0.000 0.000 0.000
0.500 0.500 0.500


Cs2Se | Alexandria | PBEsol | relaxed; total DFT energy (no corrections) = -0.2120 Ry per atom; energy relative to the elements, uncorrected = -2.92 eV/f.u.; volume = 49.5 Å³ per atom; crystal system = trigonal
1.0
5.426 0.000 0.000
-2.713 4.699 0.000
0.000 0.000 5.829
Cs Se
2 1
direct
0.333 0.667 0.257
0.667 0.333 0.743
0.000 0.000 0.000


Cs2Se | Alexandria | PBEsol | relaxed; total DFT energy (no corrections) = -0.2155 Ry per atom; energy relative to the elements, uncorrected = -3.06 eV/f.u.; volume = 48.4 Å³ per atom; crystal system = trigonal
1.0
2.804 1.619 10.664
-2.804 1.619 10.664
0.000 -3.238 10.664
Cs Se
4 2
direct
0.122 0.122 0.122
0.297 0.297 0.297
0.703 0.703 0.703
0.878 0.878 0.878
0.412 0.412 0.412
0.588 0.588 0.588


Cs2Se5 | Alexandria | PBEsol | relaxed; total DFT energy (no corrections) = -0.2659 Ry per atom; energy relative to the elements, uncorrected = -4.19 eV/f.u.; volume = 34.0 Å³ per atom; crystal system = orthorhombic
1.0
6.855 0.000 0.000
0.000 7.466 0.000
0.000 0.000 18.597
Cs Se
8 20
direct
0.089 0.244 0.162
0.101 0.418 0.510
0.399 0.582 0.010
0.411 0.756 0.662
0.589 0.256 0.838
0.601 0.082 0.490
0.899 0.918 0.990
0.911 0.744 0.338
0.039 0.657 0.804
0.075 0.388 0.873
0.093 0.922 0.519
0.098 0.743 0.162
0.225 0.139 0.354
0.275 0.861 0.854
0.402 0.257 0.662
0.407 0.078 0.019
0.425 0.612 0.373
0.461 0.343 0.304
0.539 0.843 0.196
0.575 0.112 0.127
0.593 0.578 0.481
0.598 0.757 0.838
0.725 0.361 0.646
0.775 0.639 0.146
0.902 0.243 0.338
0.907 0.422 0.981
0.925 0.888 0.627
0.961 0.157 0.696


Cs2Se | Alexandria | PBEsol | relaxed; total DFT energy (no corrections) = -0.2172 Ry per atom; energy relative to the elements, uncorrected = -3.13 eV/f.u.; volume = 39.5 Å³ per atom; crystal system = hexagonal
1.0
5.922 0.000 0.000
-2.961 5.129 0.000
0.000 0.000 7.805
Cs Se
4 2
direct
0.000 0.000 0.000
0.000 0.000 0.500
0.333 0.667 0.250
0.667 0.333 0.750
0.333 0.667 0.750
0.667 0.333 0.250


Cs2Se | Alexandria | PBEsol | relaxed; total DFT energy (no corrections) = -0.2199 Ry per atom; energy relative to the elements, uncorrected = -3.24 eV/f.u.; volume = 42.4 Å³ per atom; crystal system = orthorhombic
1.0
8.787 0.000 0.000
0.000 5.437 0.000
0.000 0.000 10.661
Cs Se
8 4
direct
0.027 0.250 0.173
0.146 0.250 0.573
0.354 0.750 0.073
0.473 0.750 0.673
0.527 0.250 0.327
0.646 0.250 0.927
0.854 0.750 0.427
0.973 0.750 0.827
0.245 0.250 0.888
0.255 0.750 0.388
0.745 0.250 0.612
0.755 0.750 0.112


Cs2Se | Alexandria | PBEsol | relaxed; total DFT energy (no corrections) = -0.2151 Ry per atom; energy relative to the elements, uncorrected = -3.05 eV/f.u.; volume = 45.7 Å³ per atom; crystal system = orthorhombic
1.0
0.000 9.597 2.710
5.277 0.000 2.710
5.277 9.597 0.000
Cs Se
4 2
direct
0.244 0.756 0.385
0.635 0.865 0.494
0.756 0.244 0.615
0.865 0.635 0.006
0.267 0.267 0.733
0.517 0.517 0.983


Cs2Se | Alexandria | PBEsol | relaxed; total DFT energy (no corrections) = -0.2205 Ry per atom; energy relative to the elements, uncorrected = -3.27 eV/f.u.; volume = 47.5 Å³ per atom; crystal system = cubic
1.0
0.000 4.146 4.146
4.146 0.000 4.146
4.146 4.146 0.000
Cs Se
2 1
direct
0.250 0.250 0.250
0.750 0.750 0.750
0.000 0.000 0.000


CsSnSe3 | Alexandria | PBEsol | relaxed; total DFT energy (no corrections) = -0.2955 Ry per atom; energy relative to the elements, uncorrected = -3.35 eV/f.u.; volume = 34.5 Å³ per atom; crystal system = triclinic
1.0
7.093 0.000 0.000
-2.119 7.132 0.000
-3.432 -2.418 6.822
Cs Sn Se
2 2 6
direct
0.224 0.195 0.346
0.776 0.805 0.654
0.221 0.509 0.928
0.779 0.491 0.072
0.190 0.613 0.627
0.231 0.699 0.232
0.340 0.217 0.933
0.660 0.783 0.067
0.769 0.301 0.768
0.810 0.387 0.373


CsSnSe3 | Alexandria | PBEsol | relaxed; total DFT energy (no corrections) = -0.2730 Ry per atom; energy relative to the elements, uncorrected = -1.82 eV/f.u.; volume = 30.8 Å³ per atom; crystal system = cubic
1.0
5.362 0.000 0.000
0.000 5.362 0.000
0.000 0.000 5.362
Cs Sn Se
1 1 3
direct
0.000 0.000 0.000
0.500 0.500 0.500
0.000 0.500 0.500
0.500 0.000 0.500
0.500 0.500 0.000


CsSnSe3 | Alexandria | PBEsol | relaxed; total DFT energy (no corrections) = -0.1805 Ry per atom; energy relative to the elements, uncorrected = 4.48 eV/f.u.; volume = 34.9 Å³ per atom; crystal system = cubic
1.0
5.591 0.000 0.000
0.000 5.591 0.000
0.000 0.000 5.591
Cs Sn Se
1 1 3
direct
0.000 0.000 0.000
0.500 0.500 0.500
0.000 0.000 0.500
0.000 0.500 0.000
0.500 0.000 0.000


Cs4SrSn3Se9 | Alexandria | PBEsol | relaxed; total DFT energy (no corrections) = -0.2994 Ry per atom; energy relative to the elements, uncorrected = -16.20 eV/f.u.; volume = 34.3 Å³ per atom; crystal system = trigonal
1.0
7.228 4.173 3.226
-7.228 4.173 3.226
0.000 -8.346 3.226
Cs Sr Sn Se
4 1 3 9
direct
0.000 0.000 0.000
0.320 0.754 0.868
0.754 0.868 0.320
0.868 0.320 0.754
0.456 0.456 0.456
0.344 0.928 0.469
0.469 0.344 0.928
0.928 0.469 0.344
0.057 0.674 0.216
0.093 0.315 0.454
0.216 0.057 0.674
0.315 0.454 0.093
0.454 0.093 0.315
0.571 0.855 0.631
0.631 0.571 0.855
0.674 0.216 0.057
0.855 0.631 0.571


CsTaSe2 | Alexandria | PBEsol | relaxed; total DFT energy (no corrections) = -0.3728 Ry per atom; energy relative to the elements, uncorrected = 0.91 eV/f.u.; volume = 23.0 Å³ per atom; crystal system = cubic
1.0
0.000 3.585 3.585
3.585 0.000 3.585
3.585 3.585 0.000
Cs Ta Se
1 1 2
direct
0.000 0.000 0.000
0.500 0.500 0.500
0.250 0.250 0.250
0.750 0.750 0.750


Cs2TaSe | Alexandria | PBEsol | relaxed; total DFT energy (no corrections) = -0.2525 Ry per atom; energy relative to the elements, uncorrected = 4.55 eV/f.u.; volume = 37.1 Å³ per atom; crystal system = cubic
1.0
0.000 4.204 4.204
4.204 0.000 4.204
4.204 4.204 0.000
Cs Ta Se
2 1 1
direct
0.250 0.250 0.250
0.750 0.750 0.750
0.000 0.000 0.000
0.500 0.500 0.500